AcZnCrO4 PBE+U optimized geometry; spin magnetization = 3.00 μB/f.u.; symmetry = Imma; electronic total energy = -6.81 eV/atom
1.0
-3.216 4.241 4.279
3.216 -4.241 4.279
3.216 4.241 -4.279
Ac Zn Cr O
2 2 2 8
direct
0.000 0.000 0.000
0.500 0.000 0.500
0.255 0.505 0.750
0.745 0.495 0.250
0.000 0.000 0.500
0.000 0.500 0.000
0.130 0.727 0.403
0.176 0.273 0.903
0.243 0.210 0.467
0.243 0.777 0.033
0.757 0.223 0.967
0.757 0.790 0.533
0.824 0.727 0.097
0.870 0.273 0.597